(1)
CrCoRe2, optimized geometry, DFT GGA-PBE; E above lowest polymorph = 8.03 kJ per mole of atoms; ΔE_f = 130 meV per atom
1.0
2.675 0.000 0.000
0.000 3.706 0.000
0.000 0.000 5.322
Cr Co Re
1 1 2
direct
0.000 0.000 0.000
0.500 0.500 0.773
0.000 0.000 0.533
0.500 0.500 0.254

(2)
SrAsP, optimized geometry, DFT GGA-PBE; E above lowest polymorph = 11.03 kJ per mole of atoms; ΔE_f = -549 meV per atom
1.0
-2.186 2.186 4.209
2.186 -2.186 4.209
2.186 2.186 -4.209
Sr As P
1 1 1
direct
0.000 0.000 0.000
0.368 0.368 0.000
0.629 0.629 0.000

(3)
Sm6Zn5Cd, optimized geometry, DFT GGA-PBE; ΔE_f = -312 meV per atom
1.0
2.589 -7.778 0.000
2.589 7.778 0.000
0.000 0.000 7.364
Sm Zn Cd
6 5 1
direct
0.000 0.000 0.240
0.000 0.000 0.760
0.330 0.670 0.245
0.330 0.670 0.755
0.670 0.330 0.245
0.670 0.330 0.755
0.165 0.835 0.500
0.166 0.834 0.000
0.500 0.500 0.000
0.834 0.166 0.000
0.835 0.165 0.500
0.500 0.500 0.500

(4)
Ba2SrRh, optimized geometry, DFT GGA-PBE; E above lowest polymorph = 0.00 kJ per mole of atoms; ΔE_f = -200 meV per atom
1.0
-2.268 3.033 6.738
2.268 -3.033 6.738
2.268 3.033 -6.738
Ba Sr Rh
2 1 1
direct
0.153 0.153 0.000
0.847 0.847 0.000
0.500 0.500 0.000
0.000 0.500 0.500

(5)
AgPb2Br, optimized geometry, DFT GGA-PBE; E above lowest polymorph = 3.62 kJ per mole of atoms; energy relative to the elements, uncorrected = -37 kJ/mol of formula units
1.0
1.895 1.094 9.172
-1.895 1.094 9.172
0.000 -2.188 9.172
Ag Pb Br
1 2 1
direct
0.000 0.000 0.000
0.506 0.506 0.506
0.742 0.742 0.742
0.267 0.267 0.267

(6)
ErSi3TcNi, optimized geometry, DFT GGA-PBE; energy relative to the elements, uncorrected = -175 kJ/mol of formula units
1.0
3.705 -5.492 0.000
3.705 5.492 0.000
0.000 0.000 5.363
Er Si Tc Ni
2 6 2 2
direct
0.224 0.776 0.750
0.776 0.224 0.250
0.254 0.254 0.000
0.254 0.254 0.500
0.276 0.724 0.250
0.724 0.276 0.750
0.746 0.746 0.000
0.746 0.746 0.500
0.071 0.929 0.250
0.929 0.071 0.750
0.466 0.534 0.250
0.534 0.466 0.750

no.,volume (Å³/atom)
1,13.19
2,26.81
3,24.71
4,46.34
5,28.53
6,18.19